LiIn2I8: relaxed, GGA-PBE.

Computed properties:
As for the total magnetic moment: 0.48 μB/f.u. The calculation puts the uncorrected formation energy at -0.51 eV per atom. The calculation puts the distance to the lowest polymorph of the same formula at 0.0 kJ per mole of atoms. The calculation puts the theoretical density at 3.98 Mg/m³. For the total energy, the calculation gives -2.31 eV per atom.

abc: 6.9884 8.8911 8.8911
angles: 73.52 81.97 81.97
Sites, in units of the cell vectors:
Li  0.0000  0.0000  0.0000
In  0.6430  0.8131  0.8131
In  0.3570  0.1869  0.1869
I  0.2447  0.2845  0.8820
I  0.7553  0.1180  0.7155
I  0.2478  0.8117  0.8117
I  0.7522  0.1883  0.1883
I  0.2447  0.8820  0.2845
I  0.7553  0.7155  0.1180
I  0.8190  0.6261  0.6261
I  0.1810  0.3739  0.3739